# 1
Below is an optimized crystal structure of Th6InSe12, with properties calculated at the PBE level.

Properties
E_form (uncorrected), eV/atom: -1.55
V, Å³/atom: 30.6
M_tot, μB/f.u.: 0.00
DOS(E_F), states/eV/f.u.: 6.57

Geometry as CIF:
```
data_Th6InSe12
_space_group_name_H-M_alt 'P 1'
_space_group_IT_number 1
_cell_length_a 8.541
_cell_length_b 8.541
_cell_length_c 8.541
_cell_angle_alpha 101.31
_cell_angle_beta 101.31
_cell_angle_gamma 101.31
loop_
_space_group_symop_operation_xyz
'x,y,z'
loop_
_atom_site_label
_atom_site_fract_x
_atom_site_fract_y
_atom_site_fract_z
Se1 0.673 0.944 0.069
Th1 0.380 0.698 0.864
Se2 0.426 0.566 0.174
Th2 0.302 0.136 0.620
Se3 0.826 0.574 0.434
Se4 0.566 0.174 0.426
Se5 0.574 0.434 0.826
Th3 0.698 0.864 0.380
Th4 0.136 0.620 0.302
Se6 0.056 0.931 0.327
Se7 0.931 0.327 0.056
Th5 0.864 0.380 0.698
Se8 0.174 0.426 0.566
Se9 0.327 0.056 0.931
Se10 0.434 0.826 0.574
Th6 0.620 0.302 0.136
In1 0.000 0.000 0.000
Se11 0.944 0.069 0.673
Se12 0.069 0.673 0.944
```

***

# 2
Below is an optimized crystal structure of ThInSe2, with properties calculated at the PBE level.

Properties
E_form (uncorrected), eV/atom: -1.11
V, Å³/atom: 26.1
M_tot, μB/f.u.: 0.00
DOS(E_F), states/eV/f.u.: 2.28

Geometry as CIF:
```
data_ThInSe2
_space_group_name_H-M_alt 'P 1'
_space_group_IT_number 1
_cell_length_a 3.727
_cell_length_b 3.727
_cell_length_c 7.504
_cell_angle_alpha 90.00
_cell_angle_beta 90.00
_cell_angle_gamma 90.00
loop_
_space_group_symop_operation_xyz
'x,y,z'
loop_
_atom_site_label
_atom_site_fract_x
_atom_site_fract_y
_atom_site_fract_z
In1 0.500 0.500 0.500
Th1 0.500 0.500 0.000
Se1 0.000 0.000 0.782
Se2 0.000 0.000 0.218
```

***

# 3
Below is an optimized crystal structure of Th3In5Se12, with properties calculated at the PBE level.

Properties
E_form (uncorrected), eV/atom: -0.96
V, Å³/atom: 29.2
M_tot, μB/f.u.: 0.00
DOS(E_F), states/eV/f.u.: 8.06

Geometry as CIF:
```
data_Th3In5Se12
_space_group_name_H-M_alt 'P 1'
_space_group_IT_number 1
_cell_length_a 14.476
_cell_length_b 14.476
_cell_length_c 14.476
_cell_angle_alpha 109.47
_cell_angle_beta 109.47
_cell_angle_gamma 109.47
loop_
_space_group_symop_operation_xyz
'x,y,z'
loop_
_atom_site_label
_atom_site_fract_x
_atom_site_fract_y
_atom_site_fract_z
Se1 0.452 0.777 0.865
In1 0.000 0.500 0.000
Se2 0.777 0.452 0.365
In2 0.500 0.500 0.000
In3 0.125 0.750 0.375
In4 0.125 0.375 0.250
Se3 0.635 0.048 0.223
Se4 0.548 0.223 0.135
In5 0.750 0.625 0.375
Se5 0.174 0.087 0.952
In6 0.250 0.375 0.625
Se6 0.952 0.587 0.174
Se7 0.587 0.952 0.674
Se8 0.087 0.913 0.135
Se9 0.135 0.413 0.087
In7 0.875 0.625 0.750
Se10 0.413 0.135 0.587
Th1 0.125 0.875 0.750
Se11 0.174 0.087 0.723
Se12 0.826 0.913 0.048
Se13 0.865 0.587 0.913
Se14 0.723 0.587 0.174
In8 0.750 0.125 0.875
In9 0.625 0.875 0.250
Se15 0.674 0.223 0.587
In10 0.000 0.500 0.500
In11 0.000 0.000 0.000
Th2 0.250 0.125 0.375
Se16 0.913 0.826 0.548
In12 0.500 0.000 0.500
Se17 0.365 0.952 0.777
Se18 0.087 0.913 0.365
In13 0.000 0.000 0.500
Se19 0.777 0.326 0.913
Th3 0.375 0.625 0.250
Se20 0.135 0.723 0.548
Se21 0.277 0.865 0.952
Se22 0.826 0.913 0.277
Se23 0.635 0.587 0.913
Se24 0.087 0.174 0.452
In14 0.875 0.250 0.625
Se25 0.913 0.087 0.865
Se26 0.452 0.674 0.087
Se27 0.413 0.365 0.587
Th4 0.250 0.625 0.875
Th5 0.625 0.375 0.750
Se28 0.413 0.277 0.326
In15 0.500 0.500 0.500
Th6 0.125 0.250 0.875
Se29 0.548 0.326 0.913
Se30 0.365 0.413 0.087
Th7 0.875 0.750 0.125
In16 0.375 0.125 0.750
Se31 0.223 0.674 0.087
Th8 0.375 0.750 0.625
Se32 0.587 0.723 0.674
Se33 0.587 0.865 0.413
Th9 0.750 0.375 0.125
Se34 0.326 0.777 0.413
Se35 0.674 0.452 0.587
Th10 0.625 0.250 0.375
Se36 0.587 0.635 0.413
Se37 0.865 0.277 0.452
Se38 0.087 0.174 0.223
In17 0.625 0.750 0.875
In18 0.500 0.000 0.000
Se39 0.048 0.413 0.826
Th11 0.750 0.875 0.625
Se40 0.413 0.048 0.326
Se41 0.048 0.635 0.723
In19 0.375 0.250 0.125
Se42 0.913 0.826 0.777
Se43 0.223 0.548 0.635
In20 0.250 0.875 0.125
Se44 0.952 0.365 0.277
Se45 0.277 0.413 0.826
Se46 0.913 0.087 0.635
Th12 0.875 0.125 0.250
Se47 0.326 0.548 0.413
Se48 0.723 0.135 0.048
```

***

# 4
Below is an optimized crystal structure of ThTl2InSe4, with properties calculated at the PBE level.

Properties
E_form (uncorrected), eV/atom: -0.90
V, Å³/atom: 30.9
M_tot, μB/f.u.: 0.00
DOS(E_F), states/eV/f.u.: 3.23

Geometry as CIF:
```
data_ThTl2InSe4
_space_group_name_H-M_alt 'P 1'
_space_group_IT_number 1
_cell_length_a 4.257
_cell_length_b 8.078
_cell_length_c 7.544
_cell_angle_alpha 72.15
_cell_angle_beta 90.00
_cell_angle_gamma 90.00
loop_
_space_group_symop_operation_xyz
'x,y,z'
loop_
_atom_site_label
_atom_site_fract_x
_atom_site_fract_y
_atom_site_fract_z
In1 0.500 0.500 0.000
Tl1 0.000 0.000 0.000
Tl2 0.500 0.000 0.500
Se1 0.500 0.710 0.270
Se2 0.000 0.707 0.756
Se3 0.000 0.293 0.244
Th1 0.000 0.500 0.500
Se4 0.500 0.290 0.730
```

***

# 5
Below is an optimized crystal structure of ThTl2InSe5, with properties calculated at the PBE level.

Properties
E_form (uncorrected), eV/atom: -0.82
V, Å³/atom: 31.5
M_tot, μB/f.u.: 0.00
DOS(E_F), states/eV/f.u.: 3.34

Geometry as CIF:
```
data_ThTl2InSe5
_space_group_name_H-M_alt 'P 1'
_space_group_IT_number 1
_cell_length_a 4.234
_cell_length_b 9.711
_cell_length_c 14.116
_cell_angle_alpha 90.00
_cell_angle_beta 90.00
_cell_angle_gamma 102.59
loop_
_space_group_symop_operation_xyz
'x,y,z'
loop_
_atom_site_label
_atom_site_fract_x
_atom_site_fract_y
_atom_site_fract_z
Se1 0.278 0.555 0.677
Tl1 0.900 0.800 0.153
Se2 0.492 0.985 0.264
Se3 0.059 0.119 0.039
Se4 0.709 0.418 0.895
In1 0.570 0.141 0.925
Se5 0.508 0.015 0.764
Se6 0.628 0.256 0.505
Se7 0.722 0.445 0.177
Tl2 0.883 0.767 0.826
Tl3 0.100 0.200 0.653
Se8 0.291 0.582 0.395
Se9 0.941 0.881 0.539
Se10 0.372 0.744 0.005
Tl4 0.117 0.233 0.326
Th1 0.779 0.557 0.540
Th2 0.221 0.443 0.040
In2 0.430 0.859 0.425
```

***

# 6
Below is an optimized crystal structure of Th2Tl3InSe6, with properties calculated at the PBE level.

Properties
E_form (uncorrected), eV/atom: -1.06
V, Å³/atom: 32.5
M_tot, μB/f.u.: 0.00

Geometry as CIF:
```
data_Th2Tl3InSe6
_space_group_name_H-M_alt 'P 1'
_space_group_IT_number 1
_cell_length_a 4.373
_cell_length_b 9.291
_cell_length_c 10.150
_cell_angle_alpha 104.28
_cell_angle_beta 102.44
_cell_angle_gamma 90.00
loop_
_space_group_symop_operation_xyz
'x,y,z'
loop_
_atom_site_label
_atom_site_fract_x
_atom_site_fract_y
_atom_site_fract_z
Tl1 0.500 0.500 0.000
Se1 0.326 0.877 0.653
Th1 0.834 0.671 0.668
Se2 0.674 0.123 0.347
Th2 0.166 0.329 0.332
Se3 0.324 0.445 0.647
Se4 0.978 0.743 0.955
Tl2 0.846 0.166 0.692
In1 0.500 0.000 0.000
Se5 0.676 0.555 0.353
Tl3 0.154 0.834 0.308
Se6 0.022 0.257 0.045
```

***

# 7
Below is an optimized crystal structure of Ti2In2Se, with properties calculated at the PBE level.

Properties
E_form (uncorrected), eV/atom: -0.38
V, Å³/atom: 20.3
M_tot, μB/f.u.: 0.00
DOS(E_F), states/eV/f.u.: 2.63

Geometry as CIF:
```
data_Ti2In2Se
_space_group_name_H-M_alt 'P 1'
_space_group_IT_number 1
_cell_length_a 6.634
_cell_length_b 6.634
_cell_length_c 4.619
_cell_angle_alpha 90.00
_cell_angle_beta 90.00
_cell_angle_gamma 90.00
loop_
_space_group_symop_operation_xyz
'x,y,z'
loop_
_atom_site_label
_atom_site_fract_x
_atom_site_fract_y
_atom_site_fract_z
In1 0.156 0.656 0.500
Ti1 0.345 0.845 0.000
Se1 0.500 0.500 0.000
In2 0.656 0.844 0.500
Se2 0.000 0.000 0.000
In3 0.344 0.156 0.500
Ti2 0.655 0.155 0.000
Ti3 0.155 0.345 0.000
In4 0.844 0.344 0.500
Ti4 0.845 0.655 0.000
```

***

# 8
Below is an optimized crystal structure of Ti2InSe4, with properties calculated at the PBE level.

Properties
E_form (uncorrected), eV/atom: -0.87
V, Å³/atom: 22.0
M_tot, μB/f.u.: 0.75
DOS(E_F), states/eV/f.u.: 4.36

Geometry as CIF:
```
data_Ti2InSe4
_space_group_name_H-M_alt 'P 1'
_space_group_IT_number 1
_cell_length_a 3.701
_cell_length_b 6.599
_cell_length_c 13.154
_cell_angle_alpha 90.00
_cell_angle_beta 90.00
_cell_angle_gamma 106.28
loop_
_space_group_symop_operation_xyz
'x,y,z'
loop_
_atom_site_label
_atom_site_fract_x
_atom_site_fract_y
_atom_site_fract_z
Se1 0.500 0.000 0.500
Ti1 0.132 0.263 0.063
Se2 0.074 0.148 0.250
Se3 0.769 0.538 0.390
In1 0.399 0.798 0.250
Se4 0.231 0.462 0.610
In2 0.601 0.202 0.750
Se5 0.926 0.852 0.750
Se6 0.231 0.462 0.890
Se7 0.769 0.538 0.110
Ti2 0.132 0.263 0.437
Ti3 0.868 0.737 0.563
Ti4 0.868 0.737 0.937
Se8 0.500 0.000 0.000
```